(1)
The following is a DFT calculation (PBE-GGA) of a relaxed LiCd2I6 crystal.

Properties
Calculated total energy ... -2.010 eV/atom
Magnetization ... 0.0 μB per formula unit
Uncorrected formation energy ... -0.560 eV/atom
ρ ... 4.56 Mg/m³
N(E_F) ... 15.17 states/eV/cell
Space group ... C2/c, No. 15

CIF file:
```
data_LiCd2I6
_space_group_name_H-M_alt 'P 1'
_space_group_IT_number 1
_space_group_name_Hall 'P 1'
_cell_length_a 9.645
_cell_length_b 9.645
_cell_length_c 8.081
_cell_angle_alpha 97.90
_cell_angle_beta 97.90
_cell_angle_gamma 77.74
loop_
_atom_site_label
_atom_site_type_symbol
_atom_site_fract_x
_atom_site_fract_y
_atom_site_fract_z
Li1 Li 0.106 0.894 0.750
Li2 Li 0.894 0.106 0.250
Cd1 Cd 0.213 0.389 0.673
Cd2 Cd 0.389 0.213 0.173
Cd3 Cd 0.611 0.787 0.827
Cd4 Cd 0.787 0.611 0.327
I1 I 0.031 0.191 0.603
I2 I 0.114 0.635 0.885
I3 I 0.191 0.031 0.103
I4 I 0.277 0.473 0.371
I5 I 0.365 0.886 0.615
I6 I 0.473 0.277 0.871
I7 I 0.527 0.723 0.129
I8 I 0.635 0.114 0.385
I9 I 0.723 0.527 0.629
I10 I 0.809 0.969 0.897
I11 I 0.886 0.365 0.115
I12 I 0.969 0.809 0.397
```

***

(2)
The following is a DFT calculation (PBE-GGA) of a relaxed LiCdI3 crystal.

Properties
Calculated total energy ... -1.984 eV/atom
Magnetization ... 0.0 μB per formula unit
Uncorrected formation energy ... -0.488 eV/atom
Energy relative to the lowest polymorph listed for this composition ... 1.65 eV per formula unit
ρ ... 3.95 Mg/m³
N(E_F) ... 0.22 states/eV/cell
Space group ... Pm-3m, No. 221

CIF file:
```
data_LiCdI3
_space_group_name_H-M_alt 'P 1'
_space_group_IT_number 1
_space_group_name_Hall 'P 1'
_cell_length_a 5.944
_cell_length_b 5.944
_cell_length_c 5.944
_cell_angle_alpha 90.00
_cell_angle_beta 90.00
_cell_angle_gamma 90.00
loop_
_atom_site_label
_atom_site_type_symbol
_atom_site_fract_x
_atom_site_fract_y
_atom_site_fract_z
Li1 Li 0.000 0.000 0.000
Cd1 Cd 0.500 0.500 0.500
I1 I 0.000 0.500 0.500
I2 I 0.500 0.000 0.500
I3 I 0.500 0.500 0.000
```

***

(3)
The following is a DFT calculation (PBE-GGA) of a relaxed LiCdI4 crystal.

Properties
Calculated total energy ... -2.125 eV/atom
Magnetization ... 0.0 μB per formula unit
Uncorrected formation energy ... -0.620 eV/atom
ρ ... 3.57 Mg/m³
N(E_F) ... 1.13 states/eV/cell
Space group ... C2/c, No. 15

CIF file:
```
data_LiCdI4
_space_group_name_H-M_alt 'P 1'
_space_group_IT_number 1
_space_group_name_Hall 'P 1'
_cell_length_a 11.563
_cell_length_b 11.563
_cell_length_c 6.465
_cell_angle_alpha 97.42
_cell_angle_beta 97.42
_cell_angle_gamma 134.33
loop_
_atom_site_label
_atom_site_type_symbol
_atom_site_fract_x
_atom_site_fract_y
_atom_site_fract_z
Li1 Li 0.155 0.845 0.750
Li2 Li 0.845 0.155 0.250
Cd1 Cd 0.361 0.639 0.250
Cd2 Cd 0.639 0.361 0.750
I1 I 0.144 0.604 0.881
I2 I 0.177 0.331 0.326
I3 I 0.331 0.177 0.826
I4 I 0.396 0.856 0.619
I5 I 0.604 0.144 0.381
I6 I 0.669 0.823 0.174
I7 I 0.823 0.669 0.674
I8 I 0.856 0.396 0.119
```